DFT (PBE-GGA) results for a relaxed Mg5InSn6 crystal.

Unit cell a=8.591 b=8.591 c=4.831 alpha=105.89 beta=105.89 gamma=109.79
Positions (direct):
Mg 0.000 0.000 0.000
Mg 0.174 0.826 0.500
Mg 0.341 0.659 0.000
Mg 0.659 0.341 0.000
Mg 0.826 0.174 0.500
In 0.500 0.500 0.500
Sn 0.073 0.411 0.241
Sn 0.233 0.233 0.735
Sn 0.411 0.073 0.241
Sn 0.589 0.927 0.759
Sn 0.767 0.767 0.265
Sn 0.927 0.589 0.759

D(E_F): 4.76 states/eV/cell
DFT total energy: -2.987 eV/atom
SG: No. 12
DFT formation energy: -0.093 eV per atom